ZnRuBr2 GGA-PBE relaxed; relative energy among the computed polymorphs = 0.622 eV/atom; formation energy from raw total energies = 0.57 eV/atom
1.0
3.365 0.000 0.000
0.000 6.327 0.000
0.000 0.000 4.117
Ru Zn Br
1 1 2
Cartesian
1.682 0.000 2.058 Ru
0.000 3.164 2.058 Zn
1.682 3.164 0.000 Br
0.000 0.000 0.000 Br

LaTb7Sm12 GGA-PBE relaxed; relative energy among the computed polymorphs = 0.553 eV/atom; E_form = 0.650 eV/atom
1.0
9.390 0.000 -3.320
-4.695 8.132 -3.320
0.000 0.000 9.960
Tb Sm La
7 12 1
Cartesian
4.695 0.000 -1.660 Tb
0.000 0.000 4.980 Tb
2.348 4.066 1.660 Tb
2.348 4.066 -3.320 Tb
-2.348 4.066 3.320 Tb
-2.348 4.066 -1.660 Tb
4.695 0.000 3.320 Tb
-1.101 6.063 -3.313 Sm
-2.301 8.124 3.254 Sm
3.589 2.078 -0.007 Sm
-0.005 4.147 0.007 Sm
6.996 0.009 0.066 Sm
4.700 3.985 3.313 Sm
1.205 2.069 3.386 Sm
5.885 6.054 -3.254 Sm
1.106 6.054 3.327 Sm
-1.190 2.078 6.574 Sm
3.490 6.063 -0.066 Sm
5.796 2.069 6.633 Sm
0.000 0.000 0.000 La

SrMoPd GGA-PBE relaxed; relative energy among the computed polymorphs = 0.337 eV/atom; E_form = 0.401 eV/atom
1.0
5.323 0.000 0.000
0.000 4.645 0.000
0.000 0.000 11.018
Mo Sr Pd
4 4 4
Cartesian
3.107 1.161 7.526 Mo
0.446 1.161 9.001 Mo
4.877 3.484 2.017 Mo
2.215 3.484 3.492 Mo
3.126 3.484 9.613 Sr
4.858 1.161 4.104 Sr
2.196 1.161 1.405 Sr
0.465 3.484 6.914 Sr
4.877 1.161 0.576 Pd
3.107 3.484 6.085 Pd
0.446 3.484 10.443 Pd
2.216 1.161 4.934 Pd

ScFe3 GGA-PBE relaxed; E_form = 0.364 eV/atom
1.0
3.181 -4.040 0.000
3.181 4.040 0.000
0.000 0.000 4.429
Fe Sc
6 2
Cartesian
2.106 2.104 3.322 Fe
3.181 -3.484 3.322 Fe
2.106 -2.104 1.107 Fe
4.255 2.104 3.322 Fe
4.255 -2.104 1.107 Fe
3.181 3.484 1.107 Fe
3.181 -0.719 3.322 Sc
3.181 0.719 1.107 Sc

Number 1: total moment 0.472 μB per atom. Number 2: total moment 0.000 μB per atom. Number 3: total moment 0.000 μB per atom. Number 4: total moment 1.347 μB per atom.